(1)
Material: DyMnFeSi3
Method: DFT, PBE
State: relaxed

Unit cell a=6.053 b=5.785 c=6.268 alpha=117.48 beta=90.00 gamma=90.00
Positions (direct):
Mn1 0.750 0.989 0.978
Mn2 0.250 0.011 0.022
Dy1 0.750 0.262 0.523
Dy2 0.250 0.738 0.477
Si1 0.500 0.294 0.000
Si2 0.000 0.706 0.000
Si3 0.750 0.800 0.599
Si4 0.000 0.294 0.000
Si5 0.250 0.200 0.401
Si6 0.500 0.706 0.000
Fe1 0.250 0.390 0.780
Fe2 0.750 0.610 0.220

Properties
As for the crystal system: orthorhombic. For the uncorrected formation energy, the calculation gives -0.31 eV per atom.

***

(2)
Material: DyMnFeSi2
Method: DFT, PBE
State: relaxed

Unit cell a=3.885 b=3.885 c=5.768 alpha=109.68 beta=109.68 gamma=90.00
Each line ends with the local moment (μB).
Positions (direct):
Mn1 0.250 0.750 0.500  2.25
Si1 0.378 0.378 0.755  -0.06
Si2 0.622 0.622 0.245  -0.06
Dy1 0.000 0.000 0.000  -0.06
Fe1 0.750 0.250 0.500  0.72

Properties
As for the crystal system: tetragonal. For the uncorrected formation energy, the calculation gives -0.65 eV per atom.

***

(3)
Material: DyFeMo
Method: DFT, PBE
State: relaxed

Unit cell a=6.476 b=6.476 c=5.914 alpha=90.00 beta=90.00 gamma=90.00
Positions (direct):
Dy1 0.251 0.251 0.500
Dy2 0.749 0.749 0.000
Dy3 0.249 0.751 0.750
Dy4 0.751 0.249 0.250
Mo1 0.807 0.193 0.750
Mo2 0.693 0.693 0.500
Mo3 0.193 0.807 0.250
Mo4 0.307 0.307 0.000
Fe1 0.052 0.052 0.000
Fe2 0.448 0.552 0.250
Fe3 0.948 0.948 0.500
Fe4 0.552 0.448 0.750

Properties
The formation energy is 0.5159 eV/atom. As for the crystal system: tetragonal.

***

(4)
Material: DyFe10Mo
Method: DFT, PBE
State: relaxed

Unit cell a=3.991 b=4.795 c=8.271 alpha=90.00 beta=90.00 gamma=90.00
Each line ends with the local moment (μB).
Positions (direct):
Fe1 0.500 0.500 0.000  2.19
Fe2 0.500 0.746 0.261  1.74
Fe3 0.000 0.000 0.346  1.74
Fe4 0.000 0.000 0.654  1.74
Fe5 0.500 0.000 0.500  1.29
Fe6 0.500 0.746 0.739  1.74
Fe7 0.000 0.500 0.186  1.99
Fe8 0.500 0.254 0.261  1.74
Fe9 0.000 0.500 0.814  1.99
Fe10 0.500 0.254 0.739  1.74
Dy1 0.000 0.000 0.000  -0.36
Mo1 0.000 0.500 0.500  -1.15

Properties
The formation energy is 0.1231 eV/atom. As for the crystal system: orthorhombic.

***

(5)
Material: DyFe10Mo2
Method: DFT, PBE
State: relaxed

Unit cell a=6.491 b=6.491 c=6.491 alpha=137.33 beta=97.98 gamma=97.24
Each line ends with the local moment (μB).
Positions (direct):
Fe1 0.000 0.000 0.500  1.72
Fe2 0.227 0.727 0.500  1.95
Fe3 0.218 0.500 0.718  2.13
Fe4 0.500 0.000 0.000  1.72
Fe5 0.000 0.500 0.000  1.72
Fe6 0.500 0.500 0.500  1.72
Fe7 0.358 0.000 0.358  2.47
Fe8 0.773 0.273 0.500  1.95
Fe9 0.642 0.000 0.642  2.47
Fe10 0.782 0.500 0.282  2.13
Mo1 0.357 0.357 0.000  -0.47
Mo2 0.643 0.643 0.000  -0.47
Dy1 0.000 0.000 0.000  -0.34

Properties
The formation energy is -0.0104 eV/atom. As for the crystal system: orthorhombic.